Below is La9Tb4Tm after structural relaxation, with properties calculated at the PBE-GGA level.

extended XYZ file:
```
28
Lattice="10.047 0.000 0.000 -5.024 8.701 0.000 0.000 0.000 11.552" Properties=species:S:1:pos:R:3 pbc="T T T"
La -1.923 4.690 2.888
La 0.000 3.611 6.115
La 0.000 3.611 11.213
La -1.896 6.896 6.115
La -1.896 6.896 11.213
La 3.127 1.805 0.339
La 3.127 1.805 5.437
La 1.923 4.690 2.888
La 0.000 8.021 2.888
La 5.024 0.680 8.664
La 3.100 4.011 8.664
La 1.896 6.896 6.115
La 1.896 6.896 11.213
La 6.920 1.805 0.339
La 6.920 1.805 5.437
La 5.024 5.090 0.339
La 5.024 5.090 5.437
La 6.947 4.011 8.664
Tb 0.000 0.000 0.000
Tb 0.000 0.000 5.776
Tb 0.000 1.917 2.888
Tb -3.364 7.743 2.888
Tb 1.660 0.958 8.664
Tb 3.364 7.743 2.888
Tb 8.387 0.958 8.664
Tb 5.024 6.784 8.664
Tm 0.000 5.801 8.664
Tm 5.024 2.900 2.888
```

Output
- Electronic total energy: -130.62 eV per cell
- Density of states at the Fermi level: 1.6378 states/eV per atom
- Calculated formation energy: 145 meV per atom
- Magnetization: 0.00 μB per cell

***

Below is LaTb3Tm2 after structural relaxation, with properties calculated at the PBE-GGA level.

extended XYZ file:
```
6
Lattice="-1.725 2.947 9.800 1.725 -2.947 9.800 1.725 2.947 -9.800" Properties=species:S:1:pos:R:3 pbc="T T T"
La 0.000 0.000 0.000
Tb 0.000 0.000 3.805
Tb 0.000 2.947 0.000
Tb 0.000 0.000 15.795
Tm 0.000 0.000 7.085
Tm 0.000 0.000 12.515
```

Output
- Electronic total energy: -25.71 eV per cell
- Density of states at the Fermi level: 1.9408 states/eV per atom
- Calculated formation energy: 342 meV per atom
- Energy above the lowest structure with this stoichiometry: 1.929 eV per formula unit
- Magnetization: 0.01 μB per cell

***

Below is La5Tb2Tm2 after structural relaxation, with properties calculated at the PBE-GGA level.

extended XYZ file:
```
9
Lattice="6.291 0.000 0.000 1.070 6.233 0.000 1.039 1.913 7.847" Properties=species:S:1:pos:R:3 pbc="T T T"
La 0.000 0.000 0.000
La 3.171 4.788 2.625
La 3.121 1.610 0.895
La 5.279 6.537 6.951
La 5.229 3.358 5.221
Tb 2.064 1.741 4.360
Tb 6.337 6.405 3.487
Tm 2.089 4.952 6.092
Tm 6.311 3.194 1.754
```

Output
- Electronic total energy: -42.62 eV per cell
- Density of states at the Fermi level: 1.5124 states/eV per atom
- Calculated formation energy: 25 meV per atom
- Energy above the lowest structure with this stoichiometry: 0.000 eV per formula unit
- Magnetization: 0.00 μB per cell

***

Below is LaTb6Tm2 after structural relaxation, with properties calculated at the PBE-GGA level.

extended XYZ file:
```
18
Lattice="6.412 -7.075 0.000 6.412 7.075 0.000 -1.507 0.000 6.436" Properties=species:S:1:pos:R:3 pbc="T T T"
La 5.282 5.336 4.827
La 6.035 -5.336 1.609
Tb 0.525 1.217 5.290
Tb 2.946 2.830 1.756
Tb 1.279 -1.217 2.072
Tb 4.449 2.603 6.432
Tb 6.114 2.603 3.222
Tb 2.193 -2.830 4.974
Tb 9.124 2.830 1.462
Tb 5.203 -2.603 3.214
Tb 6.867 -2.603 0.004
Tb 10.038 1.217 4.363
Tb 8.371 -2.830 4.680
Tb 10.791 -1.217 1.146
Tm 3.676 0.338 4.089
Tm 4.430 -0.338 0.871
Tm 6.887 0.338 5.565
Tm 7.641 -0.338 2.347
```

Output
- Electronic total energy: -81.44 eV per cell
- Density of states at the Fermi level: 1.2000 states/eV per atom
- Calculated formation energy: 103 meV per atom
- Energy above the lowest structure with this stoichiometry: 0.741 eV per formula unit
- Magnetization: 0.00 μB per cell

***

Below is La3Tb6Tm2 after structural relaxation, with properties calculated at the PBE-GGA level.

extended XYZ file:
```
11
Lattice="1.801 1.040 32.173 -1.801 1.040 32.173 0.000 -2.079 32.173" Properties=species:S:1:pos:R:3 pbc="T T T"
La 0.000 0.000 0.000
La 0.000 0.000 26.209
La 0.000 0.000 70.309
Tb 0.000 0.000 8.971
Tb 0.000 0.000 17.532
Tb 0.000 0.000 35.152
Tb 0.000 0.000 61.367
Tb 0.000 0.000 78.986
Tb 0.000 0.000 87.547
Tm 0.000 0.000 43.975
Tm 0.000 0.000 52.543
```

Output
- Electronic total energy: -51.27 eV per cell
- Density of states at the Fermi level: 1.3234 states/eV per atom
- Calculated formation energy: 22 meV per atom
- Magnetization: 0.00 μB per cell

***

Below is LaTb7Tm2 after structural relaxation, with properties calculated at the PBE-GGA level.

extended XYZ file:
```
10
Lattice="4.400 -7.962 0.000 4.400 7.962 0.000 0.000 0.000 5.695" Properties=species:S:1:pos:R:3 pbc="T T T"
La 0.000 0.000 0.000
Tb 1.563 1.876 2.847
Tb 4.400 4.387 0.000
Tb 1.563 -1.876 2.847
Tb 4.400 0.000 2.847
Tb 7.236 1.876 2.847
Tb 4.400 -4.387 0.000
Tb 7.236 -1.876 2.847
Tm 4.400 3.239 2.847
Tm 4.400 -3.239 2.847
```

Output
- Electronic total energy: -39.47 eV per cell
- Density of states at the Fermi level: 1.3723 states/eV per atom
- Calculated formation energy: 681 meV per atom
- Energy above the lowest structure with this stoichiometry: 6.592 eV per formula unit
- Magnetization: 0.00 μB per cell

***

Below is La4Tb3Tm after structural relaxation, with properties calculated at the PBE-GGA level.

extended XYZ file:
```
8
Lattice="5.991 -6.740 0.000 5.991 6.740 0.000 0.000 0.000 3.430" Properties=species:S:1:pos:R:3 pbc="T T T"
La 5.991 3.411 0.000
La 2.990 0.000 1.715
La 8.992 0.000 1.715
La 5.991 -3.411 0.000
Tb 2.996 3.370 1.715
Tb 2.996 -3.370 1.715
Tb 5.991 0.000 0.000
Tm 0.000 0.000 0.000
```

Output
- Electronic total energy: -35.15 eV per cell
- Density of states at the Fermi level: 2.3653 states/eV per atom
- Calculated formation energy: 365 meV per atom
- Energy above the lowest structure with this stoichiometry: 1.109 eV per formula unit
- Magnetization: 0.00 μB per cell

***

Below is La2Tb5Tm6 after structural relaxation, with properties calculated at the PBE-GGA level.

extended XYZ file:
```
26
Lattice="11.682 0.000 0.000 0.000 20.224 0.000 0.000 0.000 3.568" Properties=species:S:1:pos:R:3 pbc="T T T"
La 1.953 4.475 0.000
La 3.888 14.587 0.000
La 7.794 5.637 0.000
La 9.729 15.749 0.000
Tb 0.000 10.112 1.784
Tb 1.104 15.812 1.784
Tb 2.341 1.060 1.784
Tb 3.500 11.172 1.784
Tb 4.737 5.700 1.784
Tb 5.841 0.000 1.784
Tb 6.945 14.524 1.784
Tb 8.182 9.052 1.784
Tb 9.341 19.164 1.784
Tb 10.578 4.412 1.784
Tm 0.706 18.700 0.000
Tm 0.883 12.888 0.000
Tm 2.128 7.647 1.784
Tm 3.713 17.759 1.784
Tm 4.958 2.776 0.000
Tm 5.135 8.588 0.000
Tm 6.547 11.635 0.000
Tm 6.724 17.448 0.000
Tm 7.969 2.465 1.784
Tm 9.553 12.576 1.784
Tm 10.798 7.336 0.000
Tm 10.976 1.523 0.000
```

Output
- Electronic total energy: -117.00 eV per cell
- Density of states at the Fermi level: 1.4152 states/eV per atom
- Calculated formation energy: 103 meV per atom
- Magnetization: 0.00 μB per cell

***

Below is LaTb5Tm3 after structural relaxation, with properties calculated at the PBE-GGA level.

extended XYZ file:
```
18
Lattice="8.493 -3.997 0.000 8.493 3.997 0.000 -7.949 0.000 9.229" Properties=species:S:1:pos:R:3 pbc="T T T"
La 2.932 0.000 1.273
La 6.104 0.000 7.956
Tb -2.402 0.000 5.255
Tb 5.653 2.338 2.043
Tb 3.383 2.338 7.186
Tb -2.301 0.000 8.580
Tb 8.493 1.427 0.000
Tb 8.493 -1.427 0.000
Tb 11.337 0.000 0.649
Tb 5.653 -2.338 2.043
Tb 3.383 -2.338 7.186
Tb 11.438 0.000 3.974
Tm 0.000 0.000 0.000
Tm 0.102 0.000 3.115
Tm 1.026 0.000 6.270
Tm 4.518 0.000 4.615
Tm 8.010 0.000 2.960
Tm 8.934 0.000 6.114
```

Output
- Electronic total energy: -75.37 eV per cell
- Density of states at the Fermi level: 1.5125 states/eV per atom
- Calculated formation energy: 423 meV per atom
- Energy above the lowest structure with this stoichiometry: 2.087 eV per formula unit
- Magnetization: 0.00 μB per cell

***

Below is La2TbTm2 after structural relaxation, with properties calculated at the PBE-GGA level.

extended XYZ file:
```
10
Lattice="4.404 -4.805 0.000 4.404 4.805 0.000 -3.496 0.000 8.197" Properties=species:S:1:pos:R:3 pbc="T T T"
La 0.924 0.848 1.151
La -0.824 -0.848 5.249
La 6.136 0.848 2.948
La 4.388 -0.848 7.046
Tb 3.530 2.809 2.049
Tb 1.782 -2.809 6.148
Tm 0.454 2.403 4.099
Tm 2.202 -2.403 0.000
Tm 4.404 0.000 0.000
Tm 2.656 0.000 4.099
```

Output
- Electronic total energy: -44.43 eV per cell
- Density of states at the Fermi level: 1.6139 states/eV per atom
- Calculated formation energy: 243 meV per atom
- Energy above the lowest structure with this stoichiometry: 0.000 eV per formula unit
- Magnetization: 0.00 μB per cell

***

Below is La3Tb2Tm3 after structural relaxation, with properties calculated at the PBE-GGA level.

extended XYZ file:
```
8
Lattice="-2.499 2.571 10.325 2.499 -2.571 10.325 2.499 2.571 -10.325" Properties=species:S:1:pos:R:3 pbc="T T T"
La 0.000 0.000 0.000
La 2.499 0.000 7.770
La 0.000 2.571 2.554
Tb 0.000 0.000 5.129
Tb 0.000 0.000 15.521
Tm 2.499 0.000 2.632
Tm 0.000 0.000 10.325
Tm 0.000 2.571 7.692
```

Output
- Electronic total energy: -37.18 eV per cell
- Density of states at the Fermi level: 1.6890 states/eV per atom
- Calculated formation energy: 35 meV per atom
- Energy above the lowest structure with this stoichiometry: 0.000 eV per formula unit
- Magnetization: 0.00 μB per cell

***

Below is La5Tb2Tm after structural relaxation, with properties calculated at the PBE-GGA level.

extended XYZ file:
```
16
Lattice="2.841 -6.071 0.000 2.841 6.071 0.000 0.000 0.000 16.548" Properties=species:S:1:pos:R:3 pbc="T T T"
La 2.841 5.690 12.411
La 2.841 4.687 0.872
La 2.841 4.687 7.403
La 2.841 0.936 1.549
La 2.841 0.936 6.725
La 2.841 -0.936 9.823
La 2.841 -0.936 14.999
La 2.841 -4.687 9.146
La 2.841 -4.687 15.677
La 2.841 -5.690 4.137
Tb 2.841 2.740 10.532
Tb 2.841 2.740 14.291
Tb 2.841 -2.740 2.258
Tb 2.841 -2.740 6.016
Tm 2.841 3.052 4.137
Tm 2.841 -3.052 12.411
```

Output
- Electronic total energy: -74.92 eV per cell
- Density of states at the Fermi level: 1.4072 states/eV per atom
- Calculated formation energy: 113 meV per atom
- Magnetization: 0.00 μB per cell

***

Question: Look up the electronic total energy of the fourth one.
Answer: -81.44 eV per cell